Record 1
{
  "formula": "La4TbPr6",
  "functional": "PBE-GGA",
  "state": "optimized geometry",
  "lattice_angstrom": [[6.856, 0.000, 0.000], [0.000, 6.856, 0.000], [-3.428, -3.428, 8.528]],
  "species": ["La", "Pr", "La", "Pr", "La", "Tb", "Pr", "Pr", "La", "Pr", "Pr"],
  "frac_coords": [[0.961, 0.961, 0.242], [0.497, 0.865, 0.362], [0.282, 0.282, 0.242], [0.135, 0.135, 0.638], [0.718, 0.039, 0.758], [0.500, 0.500, 0.000], [0.503, 0.503, 0.638], [0.000, 0.500, 0.000], [0.039, 0.718, 0.758], [0.865, 0.497, 0.362], [0.500, 0.000, 0.000]],
  "relative_energy_ev_per_atom": 0.000,
  "delta_e_f_ev_per_atom": 0.239
}

Record 2
{
  "formula": "La3TbPr7",
  "functional": "PBE-GGA",
  "state": "optimized geometry",
  "lattice_angstrom": [[6.583, -0.001, 0.421], [0.413, 7.851, 1.084], [-0.027, 0.011, 7.936]],
  "species": ["Pr", "Pr", "Pr", "La", "Pr", "La", "La", "Tb", "Pr", "Pr", "Pr"],
  "frac_coords": [[0.786, 0.238, 0.238], [0.000, 0.500, 0.500], [0.738, 0.570, 0.915], [0.000, 0.174, 0.826], [0.738, 0.915, 0.570], [0.000, 0.826, 0.174], [0.500, 0.000, 0.000], [0.500, 0.500, 0.500], [0.214, 0.762, 0.762], [0.262, 0.085, 0.430], [0.262, 0.430, 0.085]],
  "relative_energy_ev_per_atom": 0.000,
  "delta_e_f_ev_per_atom": 0.208
}

Record 3
{
  "formula": "La2Tb9Pr",
  "functional": "PBE-GGA",
  "state": "optimized geometry",
  "lattice_angstrom": [[3.520, 0.000, 0.000], [0.000, 11.441, 0.000], [0.000, -5.721, 9.908]],
  "species": ["Tb", "La", "La", "Tb", "Tb", "Tb", "Tb", "Tb", "Tb", "Tb", "Tb", "Pr"],
  "frac_coords": [[0.500, 0.654, 0.827], [0.000, 0.667, 0.333], [0.000, 0.333, 0.667], [0.500, 0.173, 0.827], [0.000, 0.500, 0.000], [0.000, 0.500, 0.500], [0.000, 0.000, 0.500], [0.500, 0.827, 0.654], [0.500, 0.346, 0.173], [0.500, 0.827, 0.173], [0.500, 0.173, 0.346], [0.000, 0.000, 0.000]],
  "relative_energy_ev_per_atom": 0.049,
  "delta_e_f_ev_per_atom": 0.073
}

Repeat the first record exactly.
{
  "formula": "La4TbPr6",
  "functional": "PBE-GGA",
  "state": "optimized geometry",
  "lattice_angstrom": [[6.856, 0.000, 0.000], [0.000, 6.856, 0.000], [-3.428, -3.428, 8.528]],
  "species": ["La", "Pr", "La", "Pr", "La", "Tb", "Pr", "Pr", "La", "Pr", "Pr"],
  "frac_coords": [[0.961, 0.961, 0.242], [0.497, 0.865, 0.362], [0.282, 0.282, 0.242], [0.135, 0.135, 0.638], [0.718, 0.039, 0.758], [0.500, 0.500, 0.000], [0.503, 0.503, 0.638], [0.000, 0.500, 0.000], [0.039, 0.718, 0.758], [0.865, 0.497, 0.362], [0.500, 0.000, 0.000]],
  "relative_energy_ev_per_atom": 0.000,
  "delta_e_f_ev_per_atom": 0.239
}

Copy entry 2 word for word.
{
  "formula": "La3TbPr7",
  "functional": "PBE-GGA",
  "state": "optimized geometry",
  "lattice_angstrom": [[6.583, -0.001, 0.421], [0.413, 7.851, 1.084], [-0.027, 0.011, 7.936]],
  "species": ["Pr", "Pr", "Pr", "La", "Pr", "La", "La", "Tb", "Pr", "Pr", "Pr"],
  "frac_coords": [[0.786, 0.238, 0.238], [0.000, 0.500, 0.500], [0.738, 0.570, 0.915], [0.000, 0.174, 0.826], [0.738, 0.915, 0.570], [0.000, 0.826, 0.174], [0.500, 0.000, 0.000], [0.500, 0.500, 0.500], [0.214, 0.762, 0.762], [0.262, 0.085, 0.430], [0.262, 0.430, 0.085]],
  "relative_energy_ev_per_atom": 0.000,
  "delta_e_f_ev_per_atom": 0.208
}